No. 1
A crystal of Y2ScHg relaxed with PBEsol. Source: Alexandria, functional SCAN.

Cell lengths 4.847, 3.534, 12.079 Å; angles 90.00, 90.00, 90.00 degrees
Atoms (fractional coordinates):
Y 0.000 0.000 0.000
Y 0.000 0.500 0.500
Y 0.500 0.000 0.330
Y 0.500 0.500 0.830
Sc 0.500 0.000 0.602
Sc 0.500 0.500 0.102
Hg 0.000 0.000 0.735
Hg 0.000 0.500 0.235

Space-group type = Amm2, No. 38
Total DFT energy (no corrections) = -34.841 eV/atom
Crystal system = orthorhombic
Density of states at the Fermi level = 7.57 states/eV/cell
Total magnetic moment = 0.00 μB per cell
Energy relative to the elements = -0.318 eV per atom

=====

No. 2
A crystal of Sb3ClO4 relaxed with PBEsol. Source: Alexandria, functional SCAN.

Cell lengths 9.347, 5.400, 5.590 Å; angles 90.00, 93.64, 90.00 degrees
Atoms (fractional coordinates):
Sb 0.000 0.188 0.250
Sb 0.000 0.812 0.750
Sb 0.297 0.298 0.702
Sb 0.297 0.702 0.202
Sb 0.703 0.298 0.798
Sb 0.703 0.702 0.298
Cl 0.500 0.279 0.250
Cl 0.500 0.721 0.750
O 0.122 0.081 0.596
O 0.122 0.919 0.096
O 0.201 0.465 0.967
O 0.201 0.535 0.467
O 0.799 0.465 0.533
O 0.799 0.535 0.033
O 0.878 0.081 0.904
O 0.878 0.919 0.404

Space-group type = P2/c, No. 13
Total DFT energy (no corrections) = -19.428 eV/atom
Crystal system = monoclinic
Density of states at the Fermi level = 0.00 states/eV/cell
Energy relative to the elements, uncorrected = -1.343 eV per atom
Total magnetic moment = 0.00 μB per cell

=====

No. 3
A crystal of Ca2LaFe relaxed with PBEsol. Source: Alexandria, functional SCAN.

Cell lengths 3.356, 4.360, 16.327 Å; angles 90.00, 90.00, 90.00 degrees
Atoms (fractional coordinates):
Ca 0.000 0.000 0.164
Ca 0.000 0.000 0.836
Ca 0.500 0.500 0.336
Ca 0.500 0.500 0.664
La 0.000 0.500 0.000
La 0.500 0.000 0.500
Fe 0.000 0.500 0.500
Fe 0.500 0.000 0.000

Space-group type = Immm, No. 71
Total DFT energy (no corrections) = -19.822 eV/atom
Crystal system = orthorhombic
Density of states at the Fermi level = 7.43 states/eV/cell
Total magnetic moment = 3.32 μB per cell
Relative energy among the computed polymorphs = 5.65 kJ/mol of atoms
Energy relative to the elements = 0.318 eV per atom

=====

No. 4
A crystal of TaTl2Cl relaxed with PBEsol. Source: Alexandria, functional SCAN.

Cell lengths 2.993, 4.236, 14.547 Å; angles 90.00, 90.00, 90.00 degrees
Atoms (fractional coordinates):
Ta 0.000 0.000 0.000
Ta 0.500 0.500 0.500
Tl 0.000 0.500 0.317
Tl 0.000 0.500 0.683
Tl 0.500 0.000 0.183
Tl 0.500 0.000 0.817
Cl 0.000 0.000 0.500
Cl 0.500 0.500 0.000

Space-group type = Immm, No. 71
Total DFT energy (no corrections) = -54.526 eV/atom
Crystal system = orthorhombic
Density of states at the Fermi level = 4.24 states/eV/cell
Energy relative to the elements, uncorrected = 0.294 eV per atom
Total magnetic moment = 1.81 μB per cell
Relative energy among the computed polymorphs = 29.57 kJ/mol of atoms

=====

No. 5
A crystal of Re2MoAu relaxed with PBEsol. Source: Alexandria, functional SCAN.

Cell lengths 3.276, 3.276, 5.731 Å; angles 90.00, 90.00, 90.00 degrees
Atoms (fractional coordinates):
Re 0.000 0.000 0.232
Re 0.000 0.000 0.768
Mo 0.500 0.500 0.000
Au 0.500 0.500 0.500

Space-group type = P4/mmm, No. 123
Total DFT energy (no corrections) = -61.217 eV/atom
Crystal system = tetragonal
Density of states at the Fermi level = 1.72 states/eV/cell
Total magnetic moment = 0.00 μB per cell
Relative energy among the computed polymorphs = 0.00 kJ/mol of atoms
Energy relative to the elements = 0.343 eV per atom

=====

No. 6
A crystal of TaHgP relaxed with PBEsol. Source: Alexandria, functional SCAN.

Cell lengths 6.326, 6.326, 6.326 Å; angles 90.00, 90.00, 90.00 degrees
Atoms (fractional coordinates):
Ta 0.000 0.000 0.000
Ta 0.000 0.500 0.500
Ta 0.500 0.000 0.500
Ta 0.500 0.500 0.000
Hg 0.250 0.250 0.750
Hg 0.250 0.750 0.250
Hg 0.750 0.250 0.250
Hg 0.750 0.750 0.750
P 0.000 0.000 0.500
P 0.000 0.500 0.000
P 0.500 0.000 0.000
P 0.500 0.500 0.500

Space-group type = F-43m, No. 216
Total DFT energy (no corrections) = -46.974 eV/atom
Crystal system = cubic
Density of states at the Fermi level = 11.73 states/eV/cell
Total magnetic moment = 5.54 μB per cell
Energy relative to the elements = 1.409 eV per atom

=====

No. 7
A crystal of Cr2Cd2Tc relaxed with PBEsol. Source: Alexandria, functional SCAN.

Cell lengths 3.837, 3.837, 11.261 Å; angles 90.00, 90.00, 90.00 degrees
Atoms (fractional coordinates):
Cr 0.000 0.000 0.078
Cr 0.000 0.000 0.922
Cr 0.500 0.500 0.422
Cr 0.500 0.500 0.578
Cd 0.000 0.500 0.250
Cd 0.000 0.500 0.750
Cd 0.500 0.000 0.250
Cd 0.500 0.000 0.750
Tc 0.000 0.000 0.500
Tc 0.500 0.500 0.000

Space-group type = I4/mmm, No. 139
Total DFT energy (no corrections) = -25.533 eV/atom
Crystal system = tetragonal
Density of states at the Fermi level = 7.58 states/eV/cell
Total magnetic moment = 4.70 μB per cell
Energy relative to the elements = 0.999 eV per atom

=====

No. 8
A crystal of Mg2HgAs relaxed with PBEsol. Source: Alexandria, functional SCAN.

Cell lengths 3.759, 4.443, 4.746 Å; angles 90.00, 90.00, 90.00 degrees
Atoms (fractional coordinates):
Mg 0.000 0.000 0.000
Mg 0.000 0.500 0.500
Hg 0.500 0.000 0.500
As 0.500 0.500 0.000

Space-group type = Pmmm, No. 47
Total DFT energy (no corrections) = -24.926 eV/atom
Crystal system = orthorhombic
Density of states at the Fermi level = 0.92 states/eV/cell
Total magnetic moment = 0.00 μB per cell
Energy relative to the elements = -0.350 eV per atom

=====

No. 9
A crystal of SiSb2Mo relaxed with PBEsol. Source: Alexandria, functional SCAN.

Cell lengths 3.584, 3.587, 13.348 Å; angles 90.00, 90.00, 90.00 degrees
Atoms (fractional coordinates):
Si 0.000 0.000 0.000
Si 0.500 0.500 0.500
Sb 0.000 0.000 0.436
Sb 0.000 0.500 0.220
Sb 0.500 0.000 0.720
Sb 0.500 0.500 0.936
Mo 0.000 0.500 0.626
Mo 0.500 0.000 0.126

Space-group type = Imm2, No. 44
Total DFT energy (no corrections) = -29.495 eV/atom
Crystal system = orthorhombic
Density of states at the Fermi level = 6.49 states/eV/cell
Energy relative to the elements, uncorrected = 0.361 eV per atom
Total magnetic moment = 0.01 μB per cell

=====

No. 10
A crystal of Be3OsN relaxed with PBEsol. Source: Alexandria, functional SCAN.

Cell lengths 3.520, 3.520, 3.520 Å; angles 90.00, 90.00, 90.00 degrees
Atoms (fractional coordinates):
Be 0.000 0.000 0.500
Be 0.000 0.500 0.000
Be 0.500 0.000 0.000
Os 0.500 0.500 0.500
N 0.000 0.000 0.000

Space-group type = Pm-3m, No. 221
Total DFT energy (no corrections) = -18.798 eV/atom
Crystal system = cubic
Density of states at the Fermi level = 2.05 states/eV/cell
Energy relative to the elements, uncorrected = 0.049 eV per atom
Total magnetic moment = 0.00 μB per cell

=====

No. 11
A crystal of Zn2CrW relaxed with PBEsol. Source: Alexandria, functional SCAN.

Cell lengths 3.593, 3.593, 4.132 Å; angles 90.00, 90.00, 90.00 degrees
Atoms (fractional coordinates):
Zn 0.000 0.500 0.000
Zn 0.500 0.000 0.000
Cr 0.000 0.000 0.500
W 0.500 0.500 0.500

Space-group type = P4/mmm, No. 123
Total DFT energy (no corrections) = -28.549 eV/atom
Crystal system = tetragonal
Density of states at the Fermi level = 2.13 states/eV/cell
Total magnetic moment = 1.17 μB per cell
Relative energy among the computed polymorphs = 2.80 kJ/mol of atoms
Energy relative to the elements = 0.227 eV per atom

=====

No. 12
A crystal of Li2YAg2 relaxed with PBEsol. Source: Alexandria, functional SCAN.

Cell lengths 3.826, 3.826, 13.400 Å; angles 90.00, 90.00, 90.00 degrees
Atoms (fractional coordinates):
Li 0.000 0.500 0.250
Li 0.000 0.500 0.750
Li 0.500 0.000 0.250
Li 0.500 0.000 0.750
Y 0.000 0.000 0.000
Y 0.500 0.500 0.500
Ag 0.000 0.000 0.395
Ag 0.000 0.000 0.605
Ag 0.500 0.500 0.105
Ag 0.500 0.500 0.895

Space-group type = I4/mmm, No. 139
Total DFT energy (no corrections) = -19.310 eV/atom
Crystal system = tetragonal
Density of states at the Fermi level = 4.01 states/eV/cell
Total magnetic moment = 0.02 μB per cell
Relative energy among the computed polymorphs = 0.00 kJ/mol of atoms
Energy relative to the elements = -0.239 eV per atom

=====

No. 13
A crystal of CrReRh2 relaxed with PBEsol. Source: Alexandria, functional SCAN.

Cell lengths 5.263, 7.602, 2.645 Å; angles 90.00, 90.00, 90.00 degrees
Atoms (fractional coordinates):
Cr 0.000 0.000 0.000
Cr 0.500 0.500 0.000
Re 0.000 0.500 0.000
Re 0.500 0.000 0.000
Rh 0.250 0.250 0.500
Rh 0.250 0.750 0.500
Rh 0.750 0.250 0.500
Rh 0.750 0.750 0.500

Space-group type = Cmmm, No. 65
Total DFT energy (no corrections) = -39.372 eV/atom
Crystal system = orthorhombic
Density of states at the Fermi level = 6.75 states/eV/cell
Total magnetic moment = 3.37 μB per cell
Relative energy among the computed polymorphs = 3.25 kJ/mol of atoms
Energy relative to the elements = -0.116 eV per atom

=====

No. 14
A crystal of Sr2LaSb relaxed with PBEsol. Source: Alexandria, functional SCAN.

Cell lengths 8.114, 8.114, 8.114 Å; angles 90.00, 90.00, 90.00 degrees
Atoms (fractional coordinates):
Sr 0.000 0.000 0.000
Sr 0.000 0.500 0.500
Sr 0.250 0.250 0.250
Sr 0.250 0.750 0.750
Sr 0.500 0.000 0.500
Sr 0.500 0.500 0.000
Sr 0.750 0.250 0.750
Sr 0.750 0.750 0.250
La 0.250 0.250 0.750
La 0.250 0.750 0.250
La 0.750 0.250 0.250
La 0.750 0.750 0.750
Sb 0.000 0.000 0.500
Sb 0.000 0.500 0.000
Sb 0.500 0.000 0.000
Sb 0.500 0.500 0.500

Space-group type = F-43m, No. 216
Total DFT energy (no corrections) = -31.498 eV/atom
Crystal system = cubic
Density of states at the Fermi level = 12.43 states/eV/cell
Energy relative to the elements, uncorrected = -0.269 eV per atom
Total magnetic moment = 8.08 μB per cell

=====

No. 15
A crystal of SrHgPO2 relaxed with PBEsol. Source: Alexandria, functional SCAN.

Cell lengths 4.356, 4.356, 4.785 Å; angles 90.00, 90.00, 90.00 degrees
Atoms (fractional coordinates):
Sr 0.000 0.000 0.000
Hg 0.500 0.500 0.500
P 0.500 0.500 0.000
O 0.000 0.500 0.500
O 0.500 0.000 0.500

Space-group type = P4/mmm, No. 123
Total DFT energy (no corrections) = -22.993 eV/atom
Crystal system = tetragonal
Density of states at the Fermi level = 2.56 states/eV/cell
Energy relative to the elements, uncorrected = -0.333 eV per atom
Total magnetic moment = 1.29 μB per cell
Relative energy among the computed polymorphs = 0.00 kJ/mol of atoms